Material: GaCo2Os
Method: DFT, PBE
State: relaxed

Cell and atoms, written as extended XYZ:
```
4
Lattice="2.6459 0.0000 0.0000 0.0000 2.6459 0.0000 0.0000 0.0000 7.0179" Properties=species:S:1:pos:R:3 pbc="T T T"
Co 0.0000 0.0000 5.2752
Co 0.0000 0.0000 1.7427
Os 1.3230 1.3230 0.0000
Ga 1.3230 1.3230 3.5090
```

Output
energy relative to the elements = -0.044 eV/atom
spin magnetization = 0.223 μB per cell

Material: Ga2CoOs
Method: DFT, PBE
State: relaxed

Cell and atoms, written as extended XYZ:
```
4
Lattice="2.9906 0.0000 0.0000 0.0000 2.9906 0.0000 0.0000 0.0000 5.8752" Properties=species:S:1:pos:R:3 pbc="T T T"
Co 1.4953 1.4953 0.0000
Os 1.4953 1.4953 2.9376
Ga 0.0000 0.0000 4.4769
Ga 0.0000 0.0000 1.3982
```

Output
energy relative to the elements = -0.078 eV/atom
spin magnetization = 0.000 μB per cell

Material: Ga2CoOs2
Method: DFT, PBE
State: relaxed

Cell and atoms, written as extended XYZ:
```
10
Lattice="6.3093 0.0000 0.0000 0.0000 6.3093 0.0000 0.0000 0.0000 3.8551" Properties=species:S:1:pos:R:3 pbc="T T T"
Co 0.0000 0.0000 0.0000
Co 3.1546 3.1546 0.0000
Os 2.2873 5.4419 0.0000
Os 5.4419 4.0219 0.0000
Os 4.0219 0.8673 0.0000
Os 0.8673 2.2873 0.0000
Ga 1.0810 4.2356 1.9275
Ga 4.2356 5.2282 1.9275
Ga 5.2282 2.0736 1.9275
Ga 2.0736 1.0810 1.9275
```

Output
energy relative to the elements = 0.297 eV/atom
energy above the lowest structure with this stoichiometry = 0 meV per atom
spin magnetization = 4.113 μB per cell

Material: GaCo3Os
Method: DFT, PBE
State: relaxed

Cell and atoms, written as extended XYZ:
```
5
Lattice="4.2146 0.0000 0.0000 0.0000 4.2146 0.0000 0.0000 0.0000 4.2146" Properties=species:S:1:pos:R:3 pbc="T T T"
Co 0.0000 2.1073 0.0000
Co 0.0000 0.0000 2.1073
Co 2.1073 0.0000 0.0000
Os 2.1073 2.1073 2.1073
Ga 0.0000 0.0000 0.0000
```

Output
energy relative to the elements = 1.382 eV/atom
energy above the lowest structure with this stoichiometry = 0 meV per atom
spin magnetization = 6.234 μB per cell

Material: GaCoOs3
Method: DFT, PBE
State: relaxed

Cell and atoms, written as extended XYZ:
```
5
Lattice="-3.1619 -2.9695 -0.8594 0.6186 -1.8122 3.9859 -3.0288 2.7298 1.7112" Properties=species:S:1:pos:R:3 pbc="T T T"
Co 0.0000 0.0000 0.0000
Os 0.3093 -0.9061 1.9929
Os -1.5144 1.3649 0.8556
Os -1.5809 -1.4847 -0.4297
Ga -2.7860 -1.0259 2.4188
```

Output
energy relative to the elements = 1.787 eV/atom
energy above the lowest structure with this stoichiometry = 0 meV per atom
spin magnetization = 3.077 μB per cell

Material: Ga2CoOs
Method: DFT, PBE
State: relaxed

Cell and atoms, written as extended XYZ:
```
8
Lattice="-6.3640 1.7577 0.9415 -1.3260 -1.3788 -6.3888 -4.4349 -2.2995 -2.0641" Properties=species:S:1:pos:R:3 pbc="T T T"
Co -3.8450 0.1895 -2.7237
Co -4.8029 -1.7444 -5.5883
Os 0.0000 0.0000 0.0000
Os -7.3219 -0.1762 -1.9232
Ga -5.1237 0.3159 -0.7452
Ga -2.8612 -1.1815 -4.3724
Ga -6.2366 -1.6103 -3.7196
Ga -10.0282 -1.3653 -6.1858
```

Output
energy relative to the elements = 0.452 eV/atom
spin magnetization = 1.921 μB per cell

Material: Ga2CoOs2
Method: DFT, PBE
State: relaxed

Cell and atoms, written as extended XYZ:
```
5
Lattice="-3.1985 0.8972 -0.6478 0.3353 -1.1024 -3.1824 -3.4688 -6.0362 -0.0743" Properties=species:S:1:pos:R:3 pbc="T T T"
Co 0.0000 0.0000 0.0000
Os -1.8291 -1.2604 -1.5559
Os -4.5029 -4.9809 -2.3486
Ga -4.0495 -2.6208 -1.3186
Ga -2.2826 -3.6206 -2.5859
```

Output
energy relative to the elements = 0.601 eV/atom
energy above the lowest structure with this stoichiometry = 305 meV per atom
spin magnetization = 2.631 μB per cell

Material: GaCo2Os
Method: DFT, PBE
State: relaxed

Cell and atoms, written as extended XYZ:
```
4
Lattice="2.6840 0.0000 0.0000 1.3420 2.3244 0.0000 1.3420 0.7748 8.0529" Properties=species:S:1:pos:R:3 pbc="T T T"
Ga 2.6840 1.5496 0.0047
Co 1.3420 0.7748 6.0420
Co 1.3420 0.7748 2.0063
Os 2.6840 1.5496 4.0264
```

Output
energy relative to the elements = 0.016 eV/atom
spin magnetization = 1.390 μB per cell